1.
Computed, not measured: a relaxed structure of NiAg2Os at the PBE level of DFT.

Summary:
DFT total energy	-5.09	eV/atom
energy relative to the elements	0.591	eV per atom
M_tot	0.988	μB per cell
energy above the lowest structure with this stoichiometry	277	meV/atom

The structure in POSCAR format:
```
NiAg2Os
1.0
-1.346 2.336 4.851
1.346 -2.336 4.851
1.346 2.336 -4.851
Ni Ag Os
1 2 1
Direct
0.000 0.000 0.000
0.237 0.737 0.500
0.763 0.263 0.500
0.500 0.500 0.000
```

---

2.
Computed, not measured: a relaxed structure of SrZnGe2Os at the PBE level of DFT.

Summary:
DFT total energy	-4.77	eV/atom
energy relative to the elements	-0.090	eV per atom
M_tot	0.000	μB per cell

The structure in POSCAR format:
```
SrZnGe2Os
1.0
4.827 0.000 0.000
0.000 4.827 0.000
0.000 0.000 4.898
Sr Zn Ge Os
1 1 2 1
Direct
0.000 0.000 0.000
0.500 0.500 0.000
0.000 0.500 0.500
0.500 0.000 0.500
0.500 0.500 0.500
```

---

3.
Computed, not measured: a relaxed structure of CaSn3Sb at the PBE level of DFT.

Summary:
DFT total energy	-2.87	eV/atom
M_tot	0.696	μB per cell
energy above the lowest structure with this stoichiometry	417	meV/atom

The structure in POSCAR format:
```
CaSn3Sb
1.0
5.725 0.000 0.000
0.000 5.725 0.000
0.000 0.000 5.725
Ca Sn Sb
1 3 1
Direct
0.000 0.000 0.000
0.000 0.000 0.500
0.000 0.500 0.000
0.500 0.000 0.000
0.500 0.500 0.500
```

---

4.
Computed, not measured: a relaxed structure of Er5Sc12Tl2 at the PBE level of DFT.

Summary:
DFT total energy	-5.42	eV/atom
energy relative to the elements	0.026	eV per atom
M_tot	0.000	μB per cell

The structure in POSCAR format:
```
Er5Sc12Tl2
1.0
7.436 -4.321 0.000
7.436 4.321 0.000
-0.102 0.000 7.767
Er Sc Tl
5 12 2
Direct
0.000 0.000 0.000
0.239 0.239 0.081
0.308 0.308 0.503
0.692 0.692 0.497
0.761 0.761 0.919
0.031 0.663 0.258
0.091 0.091 0.395
0.179 0.571 0.844
0.337 0.969 0.742
0.429 0.821 0.156
0.451 0.451 0.174
0.549 0.549 0.826
0.571 0.179 0.844
0.663 0.031 0.258
0.821 0.429 0.156
0.909 0.909 0.605
0.969 0.337 0.742
0.304 0.696 0.500
0.696 0.304 0.500
```

---

5.
Computed, not measured: a relaxed structure of AlHg4Ru at the PBE level of DFT.

Summary:
DFT total energy	-1.60	eV/atom
energy relative to the elements	0.768	eV per atom
M_tot	0.853	μB per cell

The structure in POSCAR format:
```
AlHg4Ru
1.0
0.000 4.020 4.020
4.020 0.000 4.020
4.020 4.020 0.000
Al Hg Ru
1 4 1
Direct
0.000 0.000 0.000
0.126 0.625 0.625
0.625 0.126 0.625
0.625 0.625 0.126
0.625 0.625 0.625
0.250 0.250 0.250
```

---

6.
Computed, not measured: a relaxed structure of AcPr2Lu at the PBE level of DFT.

Summary:
DFT total energy	-4.52	eV/atom
energy relative to the elements	0.031	eV per atom
M_tot	0.003	μB per cell
energy above the lowest structure with this stoichiometry	0	meV/atom

The structure in POSCAR format:
```
AcPr2Lu
1.0
5.235 0.000 0.000
0.000 5.235 0.000
0.000 0.000 5.277
Ac Pr Lu
1 2 1
Direct
0.000 0.000 0.000
0.000 0.500 0.500
0.500 0.000 0.500
0.500 0.500 0.000
```

---

7.
Computed, not measured: a relaxed structure of Li3La2B3O9 at the PBE level of DFT.

Summary:
DFT total energy	-7.47	eV/atom
M_tot	0.000	μB per cell

The structure in POSCAR format:
```
Li3La2B3O9
1.0
5.942 0.000 0.000
0.000 14.325 0.000
-3.777 0.000 8.765
Li La B O
12 8 12 36
Direct
0.053 0.113 0.207
0.053 0.387 0.707
0.422 0.215 0.211
0.422 0.285 0.711
0.427 0.666 0.498
0.427 0.834 0.998
0.573 0.166 0.002
0.573 0.334 0.502
0.578 0.715 0.289
0.578 0.785 0.789
0.947 0.613 0.293
0.947 0.887 0.793
0.058 0.664 0.691
0.058 0.836 0.191
0.346 0.002 0.659
0.346 0.498 0.159
0.654 0.502 0.841
0.654 0.998 0.341
0.942 0.164 0.809
0.942 0.336 0.309
0.114 0.678 0.016
0.114 0.822 0.516
0.265 0.015 0.014
0.265 0.485 0.514
0.384 0.164 0.470
0.384 0.336 0.970
0.616 0.664 0.030
0.616 0.836 0.530
0.735 0.515 0.486
0.735 0.985 0.986
0.886 0.178 0.484
0.886 0.322 0.984
0.041 0.596 0.930
0.041 0.904 0.430
0.095 0.737 0.445
0.095 0.763 0.945
0.155 0.006 0.857
0.155 0.494 0.357
0.213 0.670 0.174
0.213 0.830 0.674
0.313 0.102 0.080
0.313 0.398 0.580
0.318 0.242 0.377
0.318 0.258 0.877
0.327 0.565 0.606
0.327 0.935 0.106
0.337 0.075 0.406
0.337 0.425 0.906
0.494 0.170 0.628
0.494 0.330 0.128
0.506 0.670 0.872
0.506 0.830 0.372
0.663 0.575 0.094
0.663 0.925 0.594
0.673 0.065 0.894
0.673 0.435 0.394
0.682 0.742 0.123
0.682 0.758 0.623
0.687 0.602 0.420
0.687 0.898 0.920
0.787 0.170 0.326
0.787 0.330 0.826
0.845 0.506 0.643
0.845 0.994 0.143
0.905 0.237 0.055
0.905 0.263 0.555
0.959 0.096 0.570
0.959 0.404 0.070
```

---

8.
Computed, not measured: a relaxed structure of Pr7Zn2Ru2 at the PBE level of DFT.

Summary:
DFT total energy	-5.06	eV/atom
energy relative to the elements	-0.097	eV per atom
M_tot	0.000	μB per cell

The structure in POSCAR format:
```
Pr7Zn2Ru2
1.0
3.936 -5.733 0.000
3.936 5.733 0.000
0.000 0.000 7.256
Pr Zn Ru
7 2 2
Direct
0.000 0.000 0.000
0.000 0.500 0.263
0.000 0.500 0.737
0.500 0.000 0.263
0.500 0.000 0.737
0.500 0.500 0.253
0.500 0.500 0.747
0.160 0.160 0.500
0.840 0.840 0.500
0.304 0.696 0.000
0.696 0.304 0.000
```